Record 1
This record from Alexandria describes GdPuCu2 after structural relaxation. The functional is GGA-PBE.

Calculated values
Crystal system ... cubic
DFT total energy ... -9.15 eV per atom
V ... 342.42 Å³/cell
Excess energy over the best structure of this formula in the dataset ... 0.043 eV per atom
ΔH_f (0 K) ... -3 meV per atom
Mass density ... 10.2 g/cm³

```
data_GdPuCu2
_chemical_formula_sum 'Gd4 Pu4 Cu8'
_cell_length_a 6.9961
_cell_length_b 6.9961
_cell_length_c 6.9961
_cell_angle_alpha 90.00
_cell_angle_beta 90.00
_cell_angle_gamma 90.00
_space_group_name_H-M_alt 'F m -3 m'
_space_group_IT_number 225
_space_group_name_Hall '-F 4 2 3'
loop_
_atom_site_label
_atom_site_type_symbol
_atom_site_fract_x
_atom_site_fract_y
_atom_site_fract_z
Gd1 Gd 0.0000 0.0000 0.0000
Pu1 Pu 0.0000 0.0000 0.5000
Cu1 Cu 0.2500 0.2500 0.2500
```

=====

Record 2
This record from Alexandria describes ScPaTlPb after structural relaxation. The functional is GGA-PBE.

Calculated values
Crystal system ... cubic
DFT total energy ... -5.44 eV per atom
V ... 417.42 Å³/cell
ΔH_f (0 K) ... 37 meV per atom
Mass density ... 10.9 g/cm³

```
data_ScPaTlPb
_chemical_formula_sum 'Sc4 Pa4 Tl4 Pb4'
_cell_length_a 7.4735
_cell_length_b 7.4735
_cell_length_c 7.4735
_cell_angle_alpha 90.00
_cell_angle_beta 90.00
_cell_angle_gamma 90.00
_space_group_name_H-M_alt 'F -4 3 m'
_space_group_IT_number 216
_space_group_name_Hall 'F -4 2 3'
loop_
_atom_site_label
_atom_site_type_symbol
_atom_site_fract_x
_atom_site_fract_y
_atom_site_fract_z
Sc1 Sc 0.0000 0.0000 0.0000
Pa1 Pa 0.0000 0.0000 0.5000
Tl1 Tl 0.2500 0.2500 0.2500
Pb1 Pb 0.2500 0.2500 0.7500
```

=====

Record 3
This record from Alexandria describes SnWSe2 after structural relaxation. The functional is GGA-PBE.

Calculated values
Crystal system ... tetragonal
DFT total energy ... -5.59 eV per atom
V ... 459.62 Å³/cell
ΔE_f (raw) ... 388 meV per atom
Mass density ... 6.7 g/cm³

```
data_SnWSe2
_chemical_formula_sum 'Sn4 W4 Se8'
_cell_length_a 6.5499
_cell_length_b 6.5499
_cell_length_c 10.7133
_cell_angle_alpha 90.00
_cell_angle_beta 90.00
_cell_angle_gamma 90.00
_space_group_name_H-M_alt 'I -4 2 d'
_space_group_IT_number 122
_space_group_name_Hall 'I -4 2bw'
loop_
_atom_site_label
_atom_site_type_symbol
_atom_site_fract_x
_atom_site_fract_y
_atom_site_fract_z
Sn1 Sn 0.0000 0.0000 0.0000
W1 W 0.0000 0.0000 0.5000
Se1 Se 0.1807 0.2500 0.6250
```

=====

Record 4
This record from Alexandria describes Na2CdCoH6 after structural relaxation. The functional is GGA-PBE.

Calculated values
Crystal system ... trigonal
DFT total energy ... -3.17 eV per atom
V ... 112.45 Å³/cell
Mass density ... 3.3 g/cm³

```
data_Na2CdCoH6
_chemical_formula_sum 'Na2 Cd1 Co1 H6'
_cell_length_a 5.0808
_cell_length_b 5.0808
_cell_length_c 5.0297
_cell_angle_alpha 90.00
_cell_angle_beta 90.00
_cell_angle_gamma 120.00
_space_group_name_H-M_alt 'P -3 m 1'
_space_group_IT_number 164
_space_group_name_Hall '-P 3 2"'
loop_
_atom_site_label
_atom_site_type_symbol
_atom_site_fract_x
_atom_site_fract_y
_atom_site_fract_z
Na1 Na 0.3333 0.6667 0.3273
Cd1 Cd 0.0000 0.0000 0.0000
Co1 Co 0.0000 0.0000 0.5000
H1 H 0.1524 0.3047 0.6693
```

=====

Record 5
This record from Alexandria describes Th2Ge4RuPt3 after structural relaxation. The functional is GGA-PBE.

Calculated values
Crystal system ... tetragonal
DFT total energy ... -6.95 eV per atom
V ... 190.53 Å³/cell
ΔH_f (0 K) ... -883 meV per atom
Mass density ... 12.6 g/cm³

```
data_Th2Ge4RuPt3
_chemical_formula_sum 'Th2 Ge4 Ru1 Pt3'
_cell_length_a 4.2716
_cell_length_b 4.2716
_cell_length_c 10.4421
_cell_angle_alpha 90.00
_cell_angle_beta 90.00
_cell_angle_gamma 90.00
_space_group_name_H-M_alt 'P -4 m 2'
_space_group_IT_number 115
_space_group_name_Hall 'P -4 -2'
loop_
_atom_site_label
_atom_site_type_symbol
_atom_site_fract_x
_atom_site_fract_y
_atom_site_fract_z
Th1 Th 0.0000 0.5000 0.2425
Ge1 Ge 0.0000 0.0000 0.5000
Ge2 Ge 0.0000 0.5000 0.8684
Ge3 Ge 0.5000 0.5000 0.5000
Ru1 Ru 0.5000 0.5000 0.0000
Pt1 Pt 0.0000 0.0000 0.0000
Pt2 Pt 0.0000 0.5000 0.6309
```

=====

Record 6
This record from Alexandria describes Pr2BiO2 after structural relaxation. The functional is GGA-PBE.

Calculated values
Crystal system ... tetragonal
DFT total energy ... -7.22 eV per atom
V ... 233.27 Å³/cell
Excess energy over the best structure of this formula in the dataset ... 0.000 eV per atom
ΔE_f (raw) ... -2549 meV per atom
Mass density ... 7.4 g/cm³

```
data_Pr2BiO2
_chemical_formula_sum 'Pr4 Bi2 O4'
_cell_length_a 4.0582
_cell_length_b 4.0582
_cell_length_c 14.1642
_cell_angle_alpha 90.00
_cell_angle_beta 90.00
_cell_angle_gamma 90.00
_space_group_name_H-M_alt 'I 4/m m m'
_space_group_IT_number 139
_space_group_name_Hall '-I 4 2'
loop_
_atom_site_label
_atom_site_type_symbol
_atom_site_fract_x
_atom_site_fract_y
_atom_site_fract_z
Pr1 Pr 0.0000 0.0000 0.1653
Bi1 Bi 0.0000 0.0000 0.5000
O1 O 0.0000 0.5000 0.2500
```

=====

Record 7
This record from Alexandria describes YSnRh3 after structural relaxation. The functional is GGA-PBE.

Calculated values
Crystal system ... cubic
DFT total energy ... -5.63 eV per atom
V ... 117.03 Å³/cell
Excess energy over the best structure of this formula in the dataset ... 1.388 eV per atom
ΔH_f (0 K) ... 873 meV per atom
Mass density ... 7.3 g/cm³

```
data_YSnRh3
_chemical_formula_sum 'Y1 Sn1 Rh3'
_cell_length_a 4.8914
_cell_length_b 4.8914
_cell_length_c 4.8914
_cell_angle_alpha 90.00
_cell_angle_beta 90.00
_cell_angle_gamma 90.00
_space_group_name_H-M_alt 'P m -3 m'
_space_group_IT_number 221
_space_group_name_Hall '-P 4 2 3'
loop_
_atom_site_label
_atom_site_type_symbol
_atom_site_fract_x
_atom_site_fract_y
_atom_site_fract_z
Y1 Y 0.0000 0.0000 0.0000
Sn1 Sn 0.5000 0.5000 0.5000
Rh1 Rh 0.0000 0.0000 0.5000
```

=====

Record 8
This record from Alexandria describes TmInPtO6 after structural relaxation. The functional is GGA-PBE.

Calculated values
Crystal system ... tetragonal
DFT total energy ... -6.27 eV per atom
V ... 237.82 Å³/cell
ΔE_f (raw) ... -1488 meV per atom
Mass density ... 8.0 g/cm³

```
data_TmInPtO6
_chemical_formula_sum 'Tm2 In2 Pt2 O12'
_cell_length_a 4.8907
_cell_length_b 4.8907
_cell_length_c 9.9429
_cell_angle_alpha 90.00
_cell_angle_beta 90.00
_cell_angle_gamma 90.00
_space_group_name_H-M_alt 'P 42 n m'
_space_group_IT_number 102
_space_group_name_Hall 'P 4n -2n'
loop_
_atom_site_label
_atom_site_type_symbol
_atom_site_fract_x
_atom_site_fract_y
_atom_site_fract_z
Tm1 Tm 0.0000 0.0000 0.0000
In1 In 0.0000 0.0000 0.3355
Pt1 Pt 0.0000 0.0000 0.6692
O1 O 0.1853 0.1853 0.5176
O2 O 0.1896 0.1896 0.8215
O3 O 0.2179 0.2179 0.1686
```

=====

Record 9
This record from Alexandria describes Zr2In2Te after structural relaxation. The functional is GGA-PBE.

Calculated values
Crystal system ... tetragonal
DFT total energy ... -5.48 eV per atom
V ... 248.60 Å³/cell
ΔE_f (raw) ... -338 meV per atom
Mass density ... 7.2 g/cm³

```
data_Zr2In2Te
_chemical_formula_sum 'Zr4 In4 Te2'
_cell_length_a 7.4634
_cell_length_b 7.4634
_cell_length_c 4.4631
_cell_angle_alpha 90.00
_cell_angle_beta 90.00
_cell_angle_gamma 90.00
_space_group_name_H-M_alt 'P 4/m b m'
_space_group_IT_number 127
_space_group_name_Hall '-P 4 2ab'
loop_
_atom_site_label
_atom_site_type_symbol
_atom_site_fract_x
_atom_site_fract_y
_atom_site_fract_z
Zr1 Zr 0.1525 0.3475 0.0000
In1 In 0.1498 0.6498 0.5000
Te1 Te 0.0000 0.0000 0.0000
```

=====

Record 10
This record from Alexandria describes CsSb after structural relaxation. The functional is GGA-PBE.

Calculated values
Crystal system ... cubic
DFT total energy ... -2.04 eV per atom
V ... 697.77 Å³/cell
Excess energy over the best structure of this formula in the dataset ... 0.912 eV per atom
ΔE_f (raw) ... 448 meV per atom
Mass density ... 2.4 g/cm³

```
data_CsSb
_chemical_formula_sum 'Cs4 Sb4'
_cell_length_a 8.8696
_cell_length_b 8.8696
_cell_length_c 8.8696
_cell_angle_alpha 90.00
_cell_angle_beta 90.00
_cell_angle_gamma 90.00
_space_group_name_H-M_alt 'F -4 3 m'
_space_group_IT_number 216
_space_group_name_Hall 'F -4 2 3'
loop_
_atom_site_label
_atom_site_type_symbol
_atom_site_fract_x
_atom_site_fract_y
_atom_site_fract_z
Cs1 Cs 0.0000 0.0000 0.0000
Sb1 Sb 0.2500 0.2500 0.2500
```

=====

Record 11
This record from Alexandria describes HoTlF6 after structural relaxation. The functional is GGA-PBE.

Calculated values
Crystal system ... trigonal
DFT total energy ... -5.23 eV per atom
V ... 281.17 Å³/cell
ΔE_f (raw) ... -2956 meV per atom
Mass density ... 5.7 g/cm³

```
data_HoTlF6
_chemical_formula_sum 'Ho2 Tl2 F12'
_cell_length_a 5.5735
_cell_length_b 5.5735
_cell_length_c 10.4517
_cell_angle_alpha 90.00
_cell_angle_beta 90.00
_cell_angle_gamma 120.00
_space_group_name_H-M_alt 'P -3 1 c'
_space_group_IT_number 163
_space_group_name_Hall '-P 3 2c'
loop_
_atom_site_label
_atom_site_type_symbol
_atom_site_fract_x
_atom_site_fract_y
_atom_site_fract_z
Ho1 Ho 0.3333 0.6667 0.2500
Tl1 Tl 0.0000 0.0000 0.0000
F1 F 0.0421 0.3352 0.1249
```

=====

Number 10 is which compound? CsSb

=====

Repeat the fourth record exactly.
This record from Alexandria describes Na2CdCoH6 after structural relaxation. The functional is GGA-PBE.

Calculated values
Crystal system ... trigonal
DFT total energy ... -3.17 eV per atom
V ... 112.45 Å³/cell
Mass density ... 3.3 g/cm³

```
data_Na2CdCoH6
_chemical_formula_sum 'Na2 Cd1 Co1 H6'
_cell_length_a 5.0808
_cell_length_b 5.0808
_cell_length_c 5.0297
_cell_angle_alpha 90.00
_cell_angle_beta 90.00
_cell_angle_gamma 120.00
_space_group_name_H-M_alt 'P -3 m 1'
_space_group_IT_number 164
_space_group_name_Hall '-P 3 2"'
loop_
_atom_site_label
_atom_site_type_symbol
_atom_site_fract_x
_atom_site_fract_y
_atom_site_fract_z
Na1 Na 0.3333 0.6667 0.3273
Cd1 Cd 0.0000 0.0000 0.0000
Co1 Co 0.0000 0.0000 0.5000
H1 H 0.1524 0.3047 0.6693
```

=====

The highest DFT total energy belongs to which entry? CsSb

=====

The highest mass density belongs to which entry? Th2Ge4RuPt3